Density functional theory data (PBE with a Hubbard U) for a relaxed structure of CuMoPO2.

a b c (Å): 3.7653 3.7653 4.7072
angles (deg): 90.00 90.00 90.00
With the nearest neighbours (Å) after each atom.
Sites, in units of the cell vectors:
1 P 0.0000 0.0000 0.5000  2 Cu 2.35
2 Mo 0.5000 0.5000 0.5000  4 P 2.66
3 O 0.0000 0.5000 0.0000  2 Cu 1.88
4 O 0.5000 0.0000 0.0000  2 Cu 1.88
5 Cu 0.0000 0.0000 0.0000  4 O 1.88

Summary:
The calculation puts the magnetic moment at 0.48 μB per atom. Its density of states at the Fermi level is 3.25 states/eV/f.u. Its space-group type is P4/mmm. The calculation puts the electronic total energy at -5.05 eV per atom.